A relaxed Rb3CrO crystal, computed with PBE+U.

CIF file:
```
data_Rb3CrO
_space_group_name_H-M_alt 'P m -3 m'
_space_group_IT_number 221
_space_group_name_Hall '-P 4 2 3'
_cell_length_a 5.7704
_cell_length_b 5.7704
_cell_length_c 5.7704
_cell_angle_alpha 90.00
_cell_angle_beta 90.00
_cell_angle_gamma 90.00
loop_
_atom_site_label
_atom_site_type_symbol
_atom_site_fract_x
_atom_site_fract_y
_atom_site_fract_z
_atom_site_occupancy
Rb1 Rb 0.0000 0.0000 0.5000 1
Cr1 Cr 0.5000 0.5000 0.5000 1
O1 O 0.0000 0.0000 0.0000 1
```

Calculated values
- crystal system = cubic
- ΔE to the lowest computed polymorph (meV per atom) = 0